(1)
# Tb3Sn5Te12 GGA-PBE optimized geometry
data_Tb3Sn5Te12
_symmetry_space_group_name_H-M 'I a -3 d'
_symmetry_Int_Tables_number 230
_symmetry_space_group_name_Hall '-I 4bd 2c 3'
_cell_length_a 17.9796
_cell_length_b 17.9796
_cell_length_c 17.9796
_cell_angle_alpha 90.00
_cell_angle_beta 90.00
_cell_angle_gamma 90.00
loop_
_atom_site_label
_atom_site_fract_x
_atom_site_fract_y
_atom_site_fract_z
Tb1 0.0000 0.2500 0.1250
Sn1 0.0000 0.0000 0.0000
Sn2 0.0000 0.2500 0.3750
Te1 0.0164 0.0691 0.6552
# - E_tot (eV/atom) = -4.124
# - total magnetization (μB/atom) = 0.000
# - ρ (Mg/m³) = 5.95
# - uncorrected formation energy (kJ per mole of atoms) = -52



(2)
# Nd6InPd2 GGA-PBE optimized geometry
data_Nd6InPd2
_symmetry_space_group_name_H-M 'I m m m'
_symmetry_Int_Tables_number 71
_symmetry_space_group_name_Hall '-I 2 2'
_cell_length_a 9.6736
_cell_length_b 10.1944
_cell_length_c 10.8422
_cell_angle_alpha 90.00
_cell_angle_beta 90.00
_cell_angle_gamma 90.00
loop_
_atom_site_label
_atom_site_fract_x
_atom_site_fract_y
_atom_site_fract_z
Nd1 0.0000 0.1967 0.2367
Nd2 0.1975 0.5000 0.1750
Nd3 0.2103 0.3165 0.5000
In1 0.0000 0.0000 0.0000
In2 0.0000 0.0000 0.5000
Pd1 0.0000 0.3495 0.0000
Pd2 0.0000 0.5000 0.3716
# - E_tot (eV/atom) = -5.101
# - total magnetization (μB/atom) = 0.000
# - energy relative to the elements (eV per atom) = -0.46
# - ρ (Mg/m³) = 7.41



(3)
# LiCaMn2 GGA-PBE optimized geometry
data_LiCaMn2
_symmetry_space_group_name_H-M 'R -3 m'
_symmetry_Int_Tables_number 166
_symmetry_space_group_name_Hall '-R 3 2"'
_cell_length_a 3.1441
_cell_length_b 3.1441
_cell_length_c 29.0269
_cell_angle_alpha 90.00
_cell_angle_beta 90.00
_cell_angle_gamma 120.00
loop_
_atom_site_label
_atom_site_fract_x
_atom_site_fract_y
_atom_site_fract_z
Li1 0.0000 0.0000 0.0000
Ca1 0.0000 0.0000 0.5000
Mn1 0.0000 0.0000 0.2565
# - E_tot (eV/atom) = -4.867
# - total magnetization (μB/atom) = 1.960
# - energy relative to the elements (eV per atom) = 0.70
# - energy above the most stable polymorph in this dataset (meV/atom) = 369
# - ρ (Mg/m³) = 3.15



(4)
# Th4Bi2PbSe GGA-PBE optimized geometry
data_Th4Bi2PbSe
_symmetry_space_group_name_H-M 'P 1 2/m 1'
_symmetry_Int_Tables_number 10
_cell_length_a 7.7384
_cell_length_b 4.4909
_cell_length_c 7.8855
_cell_angle_alpha 90.00
_cell_angle_beta 109.42
_cell_angle_gamma 90.00
loop_
_symmetry_equiv_pos_as_xyz
'x,y,z'
'-x,-y,-z'
'-x,y,-z'
'x,-y,z'
loop_
_atom_site_label
_atom_site_fract_x
_atom_site_fract_y
_atom_site_fract_z
Th1 0.2277 0.0000 0.2247
Th2 0.2400 0.5000 0.7665
Bi1 0.0000 0.0000 0.5000
Bi2 0.5000 0.5000 0.5000
Pb1 0.5000 0.0000 0.0000
Se1 0.0000 0.5000 0.0000
# - E_tot (eV/atom) = -6.298
# - total magnetization (μB/atom) = 0.000
# - ρ (Mg/m³) = 10.49
# - uncorrected formation energy (kJ per mole of atoms) = -69



(5)
# NdTi2As4 GGA-PBE optimized geometry
data_NdTi2As4
_symmetry_space_group_name_H-M 'C m c m'
_symmetry_Int_Tables_number 63
_symmetry_space_group_name_Hall '-C 2c 2'
_cell_length_a 3.8355
_cell_length_b 12.3658
_cell_length_c 12.4924
_cell_angle_alpha 90.00
_cell_angle_beta 90.00
_cell_angle_gamma 90.00
loop_
_atom_site_label
_atom_site_fract_x
_atom_site_fract_y
_atom_site_fract_z
Nd1 0.0000 0.1119 0.2500
Ti1 0.0000 0.3698 0.0575
As1 0.0000 0.0000 0.0000
As2 0.0000 0.2568 0.6177
As3 0.0000 0.4265 0.2500
# - E_tot (eV/atom) = -6.412
# - total magnetization (μB/atom) = 0.000
# - energy relative to the elements (eV per atom) = -0.82
# - ρ (Mg/m³) = 6.05



(6)
# Li5Tm4Au6 GGA-PBE optimized geometry
data_Li5Tm4Au6
_symmetry_space_group_name_H-M 'C m c 21'
_symmetry_Int_Tables_number 36
_cell_length_a 4.0633
_cell_length_b 21.2848
_cell_length_c 14.4405
_cell_angle_alpha 90.00
_cell_angle_beta 90.00
_cell_angle_gamma 90.00
loop_
_symmetry_equiv_pos_as_xyz
'x,y,z'
'-x,-y,z+1/2'
'-x,y,z'
'x,-y,z+1/2'
'x+1/2,y+1/2,z'
'-x+1/2,-y+1/2,z+1/2'
'-x+1/2,y+1/2,z'
'x+1/2,-y+1/2,z+1/2'
loop_
_atom_site_label
_atom_site_fract_x
_atom_site_fract_y
_atom_site_fract_z
Li1 0.0000 0.0477 0.0000
Li2 0.0000 0.1528 0.3151
Li3 0.0000 0.1781 0.5981
Li4 0.0000 0.1876 0.9454
Li5 0.0000 0.3215 0.9589
Tm1 0.0000 0.3227 0.2728
Tm2 0.0000 0.3598 0.6260
Tm3 0.0000 0.4570 0.1126
Tm4 0.0000 0.4771 0.8449
Au1 0.0000 0.0511 0.1939
Au2 0.0000 0.0791 0.7585
Au3 0.0000 0.0814 0.4707
Au4 0.0000 0.2403 0.1121
Au5 0.0000 0.2724 0.7855
Au6 0.0000 0.3987 0.4342
# - E_tot (eV/atom) = -3.747
# - total magnetization (μB/atom) = 0.000
# - energy relative to the elements (eV per atom) = -0.61
# - ρ (Mg/m³) = 10.06



ρ of number 6 (Li5Tm4Au6)? 10.06 Mg/m³